Record 1
# Sc3BiAs2, optimized geometry, DFT PBE-GGA
# VASP energy in eV/atom: -6.12
# M_tot in μB/atom: 0.000
# Formation enthalpy at 0 K in eV/atom: -0.7585
# N(E_F) in states/eV/cell: 11.2
data_Sc3BiAs2
_cell_length_a 4.900
_cell_length_b 11.854
_cell_length_c 9.413
_cell_angle_alpha 90.00
_cell_angle_beta 90.00
_cell_angle_gamma 90.00
_space_group_name_H-M_alt 'C m c m'
_space_group_IT_number 63
_space_group_name_Hall '-C 2c 2'
loop_
_atom_site_label
_atom_site_fract_x
_atom_site_fract_y
_atom_site_fract_z
_atom_site_occupancy
Sc1 0.000 0.105 0.250 1
Sc2 0.000 0.375 0.041 1
Bi1 0.000 0.213 0.750 1
As1 0.000 0.000 0.000 1
As2 0.000 0.468 0.750 1

Record 2
# Sc2BiAs2, optimized geometry, DFT PBE-GGA
# VASP energy in eV/atom: -5.86
# M_tot in μB/atom: 0.000
# Formation enthalpy at 0 K in eV/atom: -0.6939
# N(E_F) in states/eV/cell: 5.7
data_Sc2BiAs2
_cell_length_a 7.736
_cell_length_b 7.736
_cell_length_c 3.646
_cell_angle_alpha 90.00
_cell_angle_beta 90.00
_cell_angle_gamma 90.00
_space_group_name_H-M_alt 'P 4/m b m'
_space_group_IT_number 127
_space_group_name_Hall '-P 4 2ab'
loop_
_atom_site_label
_atom_site_fract_x
_atom_site_fract_y
_atom_site_fract_z
_atom_site_occupancy
Sc1 0.149 0.351 0.000 1
Bi1 0.000 0.000 0.000 1
As1 0.155 0.655 0.500 1

Record 3
# ScBi2As2, optimized geometry, DFT PBE-GGA
# VASP energy in eV/atom: -4.94
# M_tot in μB/atom: 0.000
# Formation enthalpy at 0 K in eV/atom: -0.2581
# N(E_F) in states/eV/cell: 5.6
data_ScBi2As2
_cell_length_a 7.609
_cell_length_b 7.609
_cell_length_c 4.411
_cell_angle_alpha 90.00
_cell_angle_beta 90.00
_cell_angle_gamma 90.00
_space_group_name_H-M_alt 'P 4/m b m'
_space_group_IT_number 127
_space_group_name_Hall '-P 4 2ab'
loop_
_atom_site_label
_atom_site_fract_x
_atom_site_fract_y
_atom_site_fract_z
_atom_site_occupancy
Sc1 0.000 0.000 0.000 1
Bi1 0.159 0.341 0.500 1
As1 0.170 0.670 0.000 1

Record 4
# Sc2BiAs, optimized geometry, DFT PBE-GGA
# VASP energy in eV/atom: -5.87
# M_tot in μB/atom: 0.001
# Formation enthalpy at 0 K in eV/atom: -0.5681
# N(E_F) in states/eV/cell: 15.2
data_Sc2BiAs
_cell_length_a 7.137
_cell_length_b 7.137
_cell_length_c 7.137
_cell_angle_alpha 90.00
_cell_angle_beta 90.00
_cell_angle_gamma 90.00
_space_group_name_H-M_alt 'F m -3 m'
_space_group_IT_number 225
_space_group_name_Hall '-F 4 2 3'
loop_
_atom_site_label
_atom_site_fract_x
_atom_site_fract_y
_atom_site_fract_z
_atom_site_occupancy
Sc1 0.250 0.250 0.250 1
Bi1 0.000 0.000 0.000 1
As1 0.000 0.000 0.500 1

Record 5
# Sc3BiAs, optimized geometry, DFT PBE-GGA
# VASP energy in eV/atom: -5.11
# M_tot in μB/atom: 0.351
# Formation enthalpy at 0 K in eV/atom: 0.3926
# N(E_F) in states/eV/cell: 8.5
data_Sc3BiAs
_cell_length_a 5.393
_cell_length_b 5.393
_cell_length_c 5.393
_cell_angle_alpha 90.00
_cell_angle_beta 90.00
_cell_angle_gamma 90.00
_space_group_name_H-M_alt 'P m -3 m'
_space_group_IT_number 221
_space_group_name_Hall '-P 4 2 3'
loop_
_atom_site_label
_atom_site_fract_x
_atom_site_fract_y
_atom_site_fract_z
_atom_site_occupancy
Sc1 0.000 0.000 0.500 1
Bi1 0.000 0.000 0.000 1
As1 0.500 0.500 0.500 1

Record 6
# Sc2BiAs2, optimized geometry, DFT PBE-GGA
# VASP energy in eV/atom: -5.89
# M_tot in μB/atom: 0.000
# Formation enthalpy at 0 K in eV/atom: -0.7166
# N(E_F) in states/eV/cell: 6.9
data_Sc2BiAs2
_cell_length_a 7.881
_cell_length_b 7.881
_cell_length_c 3.553
_cell_angle_alpha 90.00
_cell_angle_beta 90.00
_cell_angle_gamma 90.00
_space_group_name_H-M_alt 'P 4/m b m'
_space_group_IT_number 127
_space_group_name_Hall '-P 4 2ab'
loop_
_atom_site_label
_atom_site_fract_x
_atom_site_fract_y
_atom_site_fract_z
_atom_site_occupancy
Sc1 0.150 0.350 0.000 1
Bi1 0.000 0.000 0.500 1
As1 0.145 0.645 0.500 1